# 1
Below is a relaxed structure of Li2SbRu, with properties calculated at the PBE-GGA level.

Structure (CIF):
```
data_Li2SbRu
_chemical_formula_sum 'Li4 Sb2 Ru2'
_space_group_name_H-M_alt 'C m m m'
_space_group_IT_number 65
_space_group_name_Hall '-C 2 2'
_cell_length_a 5.215
_cell_length_b 8.571
_cell_length_c 2.978
_cell_angle_alpha 90.00
_cell_angle_beta 90.00
_cell_angle_gamma 90.00
loop_
_atom_site_label
_atom_site_type_symbol
_atom_site_fract_x
_atom_site_fract_y
_atom_site_fract_z
Li1 Li 0.250 0.250 0.000
Sb1 Sb 0.000 0.000 0.500
Ru1 Ru 0.000 0.500 0.500
```

Values from the calculation:
Total moment (μB per formula unit): 0.00
E (eV per atom): -4.29



# 2
Below is a relaxed structure of LiSbRu2, with properties calculated at the PBE-GGA level.

Structure (CIF):
```
data_LiSbRu2
_chemical_formula_sum 'Li1 Sb1 Ru2'
_space_group_name_H-M_alt 'P m m 2'
_space_group_IT_number 25
_cell_length_a 2.998
_cell_length_b 4.393
_cell_length_c 4.625
_cell_angle_alpha 90.00
_cell_angle_beta 90.00
_cell_angle_gamma 90.00
loop_
_space_group_symop_operation_xyz
'x,y,z'
'-x,-y,z'
'-x,y,z'
'x,-y,z'
loop_
_atom_site_label
_atom_site_type_symbol
_atom_site_fract_x
_atom_site_fract_y
_atom_site_fract_z
Li1 Li 0.000 0.000 0.000
Sb1 Sb 0.500 0.500 0.156
Ru1 Ru 0.000 0.500 0.670
Ru2 Ru 0.500 0.000 0.500
```

Values from the calculation:
Total moment (μB per formula unit): 0.00
E (eV per atom): -6.08



# 3
Below is a relaxed structure of LiSbRu, with properties calculated at the PBE-GGA level.

Structure (CIF):
```
data_LiSbRu
_chemical_formula_sum 'Li4 Sb4 Ru4'
_space_group_name_H-M_alt 'F m m 2'
_space_group_IT_number 42
_space_group_name_Hall 'F 2 -2'
_cell_length_a 3.409
_cell_length_b 5.029
_cell_length_c 13.003
_cell_angle_alpha 90.00
_cell_angle_beta 90.00
_cell_angle_gamma 90.00
loop_
_atom_site_label
_atom_site_type_symbol
_atom_site_fract_x
_atom_site_fract_y
_atom_site_fract_z
Li1 Li 0.000 0.000 0.000
Sb1 Sb 0.000 0.000 0.307
Ru1 Ru 0.000 0.000 0.656
```

Values from the calculation:
Total moment (μB per formula unit): 0.00
E (eV per atom): -4.84



# 4
Below is a relaxed structure of Li2SbRu, with properties calculated at the PBE-GGA level.

Structure (CIF):
```
data_Li2SbRu
_chemical_formula_sum 'Li6 Sb3 Ru3'
_space_group_name_H-M_alt 'R -3 m'
_space_group_IT_number 166
_space_group_name_Hall '-R 3 2"'
_cell_length_a 2.9483
_cell_length_b 2.9483
_cell_length_c 27.6910
_cell_angle_alpha 90.00
_cell_angle_beta 90.00
_cell_angle_gamma 120.00
loop_
_atom_site_label
_atom_site_type_symbol
_atom_site_fract_x
_atom_site_fract_y
_atom_site_fract_z
Li1 Li 0.0000 0.0000 0.2429
Sb1 Sb 0.0000 0.0000 0.0000
Ru1 Ru 0.0000 0.0000 0.5000
```

Values from the calculation:
Total moment (μB per formula unit): 0.52
E (eV per atom): -4.04



# 5
Below is a relaxed structure of LiSbRu, with properties calculated at the PBE-GGA level.

Structure (CIF):
```
data_LiSbRu
_chemical_formula_sum 'Li4 Sb4 Ru4'
_space_group_name_H-M_alt 'F -4 3 m'
_space_group_IT_number 216
_space_group_name_Hall 'F -4 2 3'
_cell_length_a 6.086
_cell_length_b 6.086
_cell_length_c 6.086
_cell_angle_alpha 90.00
_cell_angle_beta 90.00
_cell_angle_gamma 90.00
loop_
_atom_site_label
_atom_site_type_symbol
_atom_site_fract_x
_atom_site_fract_y
_atom_site_fract_z
Li1 Li 0.000 0.000 0.000
Sb1 Sb 0.000 0.000 0.500
Ru1 Ru 0.250 0.250 0.750
```

Values from the calculation:
Total moment (μB per formula unit): 0.00
E (eV per atom): -5.18



# 6
Below is a relaxed structure of LiSb6Ru, with properties calculated at the PBE-GGA level.

Structure (CIF):
```
data_LiSb6Ru
_chemical_formula_sum 'Li4 Sb24 Ru4'
_space_group_name_H-M_alt 'C 1 2/m 1'
_space_group_IT_number 12
_cell_length_a 13.402
_cell_length_b 9.275
_cell_length_c 9.653
_cell_angle_alpha 90.00
_cell_angle_beta 133.21
_cell_angle_gamma 90.00
loop_
_space_group_symop_operation_xyz
'x,y,z'
'-x,-y,-z'
'-x,y,-z'
'x,-y,z'
'x+1/2,y+1/2,z'
'-x+1/2,-y+1/2,-z'
'-x+1/2,y+1/2,-z'
'x+1/2,-y+1/2,z'
loop_
_atom_site_label
_atom_site_type_symbol
_atom_site_fract_x
_atom_site_fract_y
_atom_site_fract_z
Li1 Li 0.250 0.250 0.000
Sb1 Sb 0.006 0.164 0.355
Sb2 Sb 0.125 0.500 0.779
Sb3 Sb 0.151 0.343 0.166
Sb4 Sb 0.173 0.500 0.527
Ru1 Ru 0.250 0.250 0.500
```

Values from the calculation:
Total moment (μB per formula unit): 0.00
E (eV per atom): -4.57



# 7
Below is a relaxed structure of LiSb4Ru, with properties calculated at the PBE-GGA level.

Structure (CIF):
```
data_LiSb4Ru
_chemical_formula_sum 'Li4 Sb16 Ru4'
_space_group_name_H-M_alt 'F -4 3 m'
_space_group_IT_number 216
_space_group_name_Hall 'F -4 2 3'
_cell_length_a 8.651
_cell_length_b 8.651
_cell_length_c 8.651
_cell_angle_alpha 90.00
_cell_angle_beta 90.00
_cell_angle_gamma 90.00
loop_
_atom_site_label
_atom_site_type_symbol
_atom_site_fract_x
_atom_site_fract_y
_atom_site_fract_z
Li1 Li 0.000 0.000 0.000
Sb1 Sb 0.125 0.125 0.375
Ru1 Ru 0.250 0.250 0.750
```

Values from the calculation:
Total moment (μB per formula unit): 2.34
E (eV per atom): -3.92



# 8
Below is a relaxed structure of LiSbRu, with properties calculated at the PBE-GGA level.

Structure (CIF):
```
data_LiSbRu
_chemical_formula_sum 'Li2 Sb2 Ru2'
_space_group_name_H-M_alt 'I 4 m m'
_space_group_IT_number 107
_space_group_name_Hall 'I 4 -2'
_cell_length_a 3.311
_cell_length_b 3.311
_cell_length_c 8.537
_cell_angle_alpha 90.00
_cell_angle_beta 90.00
_cell_angle_gamma 90.00
loop_
_atom_site_label
_atom_site_type_symbol
_atom_site_fract_x
_atom_site_fract_y
_atom_site_fract_z
Li1 Li 0.000 0.000 0.000
Sb1 Sb 0.000 0.000 0.675
Ru1 Ru 0.000 0.000 0.338
```

Values from the calculation:
Total moment (μB per formula unit): 0.00
E (eV per atom): -5.37



# 9
Below is a relaxed structure of LiSiSbRu2, with properties calculated at the PBE-GGA level.

Structure (CIF):
```
data_LiSiSbRu2
_chemical_formula_sum 'Li1 Si1 Sb1 Ru2'
_space_group_name_H-M_alt 'P 4/m m m'
_space_group_IT_number 123
_space_group_name_Hall '-P 4 2'
_cell_length_a 4.837
_cell_length_b 4.837
_cell_length_c 4.593
_cell_angle_alpha 90.00
_cell_angle_beta 90.00
_cell_angle_gamma 90.00
loop_
_atom_site_label
_atom_site_type_symbol
_atom_site_fract_x
_atom_site_fract_y
_atom_site_fract_z
Li1 Li 0.000 0.000 0.000
Si1 Si 0.500 0.500 0.000
Sb1 Sb 0.000 0.000 0.500
Ru1 Ru 0.000 0.500 0.500
```

Values from the calculation:
Total moment (μB per formula unit): 0.93
E (eV per atom): -4.78



# 10
Below is a relaxed structure of LiSmSbRu, with properties calculated at the PBE-GGA level.

Structure (CIF):
```
data_LiSmSbRu
_chemical_formula_sum 'Li4 Sm4 Sb4 Ru4'
_space_group_name_H-M_alt 'F -4 3 m'
_space_group_IT_number 216
_space_group_name_Hall 'F -4 2 3'
_cell_length_a 6.726
_cell_length_b 6.726
_cell_length_c 6.726
_cell_angle_alpha 90.00
_cell_angle_beta 90.00
_cell_angle_gamma 90.00
loop_
_atom_site_label
_atom_site_type_symbol
_atom_site_fract_x
_atom_site_fract_y
_atom_site_fract_z
Li1 Li 0.000 0.000 0.000
Sm1 Sm 0.250 0.250 0.750
Sb1 Sb 0.250 0.250 0.250
Ru1 Ru 0.000 0.000 0.500
```

Values from the calculation:
Total moment (μB per formula unit): 0.00
E (eV per atom): -5.49



# 11
Below is a relaxed structure of LiTaSb2Ru, with properties calculated at the PBE-GGA level.

Structure (CIF):
```
data_LiTaSb2Ru
_chemical_formula_sum 'Li1 Ta1 Sb2 Ru1'
_space_group_name_H-M_alt 'P 4/m m m'
_space_group_IT_number 123
_space_group_name_Hall '-P 4 2'
_cell_length_a 5.249
_cell_length_b 5.249
_cell_length_c 4.870
_cell_angle_alpha 90.00
_cell_angle_beta 90.00
_cell_angle_gamma 90.00
loop_
_atom_site_label
_atom_site_type_symbol
_atom_site_fract_x
_atom_site_fract_y
_atom_site_fract_z
Li1 Li 0.000 0.000 0.000
Ta1 Ta 0.000 0.000 0.500
Sb1 Sb 0.000 0.500 0.500
Ru1 Ru 0.500 0.500 0.000
```

Values from the calculation:
Total moment (μB per formula unit): 2.92
E (eV per atom): -4.91



# 12
Below is a relaxed structure of LiTbSbRu, with properties calculated at the PBE-GGA level.

Structure (CIF):
```
data_LiTbSbRu
_chemical_formula_sum 'Li4 Tb4 Sb4 Ru4'
_space_group_name_H-M_alt 'F -4 3 m'
_space_group_IT_number 216
_space_group_name_Hall 'F -4 2 3'
_cell_length_a 6.663
_cell_length_b 6.663
_cell_length_c 6.663
_cell_angle_alpha 90.00
_cell_angle_beta 90.00
_cell_angle_gamma 90.00
loop_
_atom_site_label
_atom_site_type_symbol
_atom_site_fract_x
_atom_site_fract_y
_atom_site_fract_z
Li1 Li 0.000 0.000 0.000
Tb1 Tb 0.250 0.250 0.250
Sb1 Sb 0.250 0.250 0.750
Ru1 Ru 0.000 0.000 0.500
```

Values from the calculation:
Total moment (μB per formula unit): 0.00
E (eV per atom): -5.50



# 13
Below is a relaxed structure of LiSb2TeRu, with properties calculated at the PBE-GGA level.

Structure (CIF):
```
data_LiSb2TeRu
_chemical_formula_sum 'Li1 Sb2 Te1 Ru1'
_space_group_name_H-M_alt 'P 4/m m m'
_space_group_IT_number 123
_space_group_name_Hall '-P 4 2'
_cell_length_a 4.986
_cell_length_b 4.986
_cell_length_c 5.943
_cell_angle_alpha 90.00
_cell_angle_beta 90.00
_cell_angle_gamma 90.00
loop_
_atom_site_label
_atom_site_type_symbol
_atom_site_fract_x
_atom_site_fract_y
_atom_site_fract_z
Li1 Li 0.000 0.000 0.000
Sb1 Sb 0.000 0.500 0.500
Te1 Te 0.500 0.500 0.000
Ru1 Ru 0.500 0.500 0.500
```

Values from the calculation:
Polymorph energy (0 for the lowest one) (meV/atom): 0
Total moment (μB per formula unit): 0.00



# 14
Below is a relaxed structure of LiThSbRu, with properties calculated at the PBE-GGA level.

Structure (CIF):
```
data_LiThSbRu
_chemical_formula_sum 'Li4 Th4 Sb4 Ru4'
_space_group_name_H-M_alt 'F -4 3 m'
_space_group_IT_number 216
_space_group_name_Hall 'F -4 2 3'
_cell_length_a 6.819
_cell_length_b 6.819
_cell_length_c 6.819
_cell_angle_alpha 90.00
_cell_angle_beta 90.00
_cell_angle_gamma 90.00
loop_
_atom_site_label
_atom_site_type_symbol
_atom_site_fract_x
_atom_site_fract_y
_atom_site_fract_z
Li1 Li 0.000 0.000 0.000
Th1 Th 0.250 0.250 0.250
Sb1 Sb 0.250 0.250 0.750
Ru1 Ru 0.000 0.000 0.500
```

Values from the calculation:
Total moment (μB per formula unit): 0.00
E (eV per atom): -6.23



| no. | calculated density (g/cm³) |
| --- | --- |
| 1 | 5.91 |
| 2 | 9.02 |
| 3 | 6.85 |
| 4 | 5.66 |
| 5 | 6.77 |
| 6 | 6.37 |
| 7 | 6.10 |
| 8 | 8.15 |
| 9 | 5.55 |
| 10 | 8.30 |
| 11 | 6.59 |
| 12 | 8.73 |
| 13 | 5.39 |
| 14 | 9.68 |